No. 1
GGA-PBE YHg2, relaxed; formation energy from the elements = -409.8 meV/atom; E_tot = -8.30 eV per formula unit; space-group type = Cmcm; calculated volume = 24.882 A^3/atom
1.0
1.964 -7.303 0.000
1.964 7.303 0.000
0.000 0.000 5.204
Y Hg
2 4
Direct
0.104 0.896 0.750
0.896 0.104 0.250
0.230 0.770 0.250
0.435 0.565 0.750
0.565 0.435 0.250
0.770 0.230 0.750

No. 2
GGA-PBE YHg5, relaxed; formation energy from the elements = -222.4 meV/atom; E_tot = -9.31 eV per formula unit; space-group type = Cmmm; calculated volume = 24.597 A^3/atom
1.0
2.231 -6.815 0.000
2.231 6.815 0.000
0.000 0.000 4.853
Y Hg
1 5
Direct
0.000 0.000 0.000
0.163 0.837 0.500
0.332 0.668 0.000
0.500 0.500 0.500
0.668 0.332 0.000
0.837 0.163 0.500

No. 3
GGA-PBE Y2Hg, relaxed; formation energy from the elements = -393.3 meV/atom; E_tot = -14.41 eV per formula unit; space-group type = Pnma; calculated volume = 28.001 A^3/atom
1.0
7.082 0.000 0.000
0.000 5.127 0.000
0.000 0.000 9.254
Y Hg
8 4
Direct
0.016 0.250 0.194
0.170 0.250 0.576
0.330 0.750 0.076
0.484 0.750 0.694
0.516 0.250 0.306
0.670 0.250 0.924
0.830 0.750 0.424
0.984 0.750 0.806
0.237 0.250 0.900
0.263 0.750 0.400
0.737 0.250 0.600
0.763 0.750 0.100

No. 4
GGA-PBE YHg2, relaxed; formation energy from the elements = -269.9 meV/atom; E_tot = -7.88 eV per formula unit; space-group type = I4_1/amd; calculated volume = 26.642 A^3/atom
1.0
-1.794 1.794 12.421
1.794 -1.794 12.421
1.794 1.794 -12.421
Y Hg
2 4
Direct
0.375 0.625 0.750
0.625 0.375 0.250
0.047 0.797 0.250
0.203 0.953 0.250
0.797 0.047 0.750
0.953 0.203 0.750

No. 5
GGA-PBE YHg2, relaxed; formation energy from the elements = -221.4 meV/atom; E_tot = -7.73 eV per formula unit; space-group type = Cmcm; calculated volume = 27.890 A^3/atom
1.0
1.903 -7.226 0.000
1.903 7.226 0.000
0.000 0.000 6.084
Y Hg
2 4
Direct
0.198 0.802 0.750
0.802 0.198 0.250
0.133 0.867 0.250
0.469 0.531 0.250
0.531 0.469 0.750
0.867 0.133 0.750

No. 6
GGA-PBE YHg22, relaxed; formation energy from the elements = 18.0 meV/atom; E_tot = -12.69 eV per formula unit; space-group type = Fd-3m; calculated volume = 27.071 A^3/atom
1.0
0.000 8.539 8.539
8.539 0.000 8.539
8.539 8.539 0.000
Y Hg
2 44
Direct
0.125 0.125 0.125
0.875 0.875 0.875
0.000 0.000 0.000
0.000 0.000 0.500
0.000 0.500 0.000
0.000 0.500 0.500
0.059 0.316 0.316
0.059 0.316 0.809
0.059 0.809 0.316
0.191 0.684 0.684
0.191 0.684 0.941
0.191 0.941 0.684
0.233 0.233 0.517
0.233 0.517 0.233
0.233 0.517 0.517
0.316 0.059 0.316
0.316 0.059 0.809
0.316 0.316 0.059
0.316 0.316 0.809
0.316 0.809 0.059
0.316 0.809 0.316
0.483 0.483 0.767
0.483 0.767 0.483
0.483 0.767 0.767
0.500 0.000 0.000
0.500 0.000 0.500
0.500 0.500 0.000
0.500 0.500 0.500
0.517 0.233 0.233
0.517 0.233 0.517
0.517 0.517 0.233
0.684 0.191 0.684
0.684 0.191 0.941
0.684 0.684 0.191
0.684 0.684 0.941
0.684 0.941 0.191
0.684 0.941 0.684
0.767 0.483 0.483
0.767 0.483 0.767
0.767 0.767 0.483
0.809 0.059 0.316
0.809 0.316 0.059
0.809 0.316 0.316
0.941 0.191 0.684
0.941 0.684 0.191
0.941 0.684 0.684